Computed, not measured: crystalline TaS2N at its relaxed geometry at the GGA-PBE level of DFT.

a b c (Å): 3.1508 3.1508 12.6307
angles (deg): 90.00 90.00 120.00
With the nearest neighbours (Å) after each atom.
Space group P6_3/mmc (No. 194)
One atom of each set of equivalent atoms:
Ta 0.3333 0.6667 0.2500 [2 per cell]  6 S 2.49
S 0.3333 0.6667 0.6149 [4 per cell]  3 N 2.33, 3 Ta 2.49
N 0.0000 0.0000 0.0000 [2 per cell]  6 S 2.33

Values from the calculation:
Calculated volume   13.6 A^3/atom
Uncorrected energy   -6.45 eV/atom
Size of the total moment   0.22 μB/f.u.
Mass density   7.9 g/cm³